VASP calculation (PBE-GGA) on crystalline TbRePO at its relaxed geometry.

Calculated values
* polymorph energy (0 for the lowest one): 0 kJ/mol of formula units
* volume: 128 Å³ per cell
* VASP energy: -34.53 eV/f.u.

Unit cell a=3.9217 b=3.9217 c=8.3462 alpha=90.00 beta=90.00 gamma=90.00
With the nearest neighbours (Å) after each atom.
Positions (direct):
P  0.0000  0.0000  0.6689  4 Re 2.41
O  0.5000  0.0000  0.0000  4 Tb 2.26
P  0.5000  0.5000  0.3311  4 Re 2.41
Re  0.0000  0.5000  0.5000  4 P 2.41
Tb  0.0000  0.0000  0.1338  4 O 2.26
O  0.0000  0.5000  0.0000  4 Tb 2.26
Re  0.5000  0.0000  0.5000  4 P 2.41
Tb  0.5000  0.5000  0.8662  4 O 2.26

VASP calculation (PBE-GGA) on crystalline ReTePO at its relaxed geometry.

Calculated values
* polymorph energy (0 for the lowest one): 204 kJ/mol of formula units
* volume: 176 Å³ per cell
* VASP energy: -25.34 eV/f.u.

Unit cell a=4.1824 b=4.1824 c=10.1657 alpha=90.01 beta=90.01 gamma=97.68
With the nearest neighbours (Å) after each atom.
Positions (direct):
Re  0.7499  0.7499  0.0425  1 P 2.11, 4 O 2.14
P  0.2500  0.2500  0.7503  1 Re 2.11
Re  0.2501  0.2501  0.9575  1 P 2.11, 4 O 2.14
P  0.7500  0.7500  0.2497  1 Re 2.11
O  0.7500  0.2499  0.0000  4 Re 2.14
Te  0.2500  0.7500  0.5000  2 Te 2.75
O  0.2499  0.7500  0.0000  4 Re 2.14
Te  0.7500  0.2500  0.5000  2 Te 2.75

VASP calculation (PBE-GGA) on crystalline ReTePO at its relaxed geometry.

Calculated values
* polymorph energy (0 for the lowest one): 210 kJ/mol of formula units
* volume: 175 Å³ per cell
* VASP energy: -25.27 eV/f.u.

Unit cell a=4.1498 b=4.1498 c=10.1489 alpha=90.00 beta=90.00 gamma=90.00
With the nearest neighbours (Å) after each atom.
Positions (direct):
P  0.0000  0.0000  0.7459  1 Re 2.10
O  0.5000  0.0000  0.0000  4 Re 2.13
Re  0.0000  0.0000  0.9524  1 P 2.10, 4 O 2.13
Re  0.5000  0.5000  0.0476  1 P 2.10, 4 O 2.13
Te  0.0000  0.5000  0.5000  4 Te 2.93, 4 P 3.25
O  0.0000  0.5000  0.0000  4 Re 2.13
Te  0.5000  0.0000  0.5000  4 Te 2.93, 4 P 3.25
P  0.5000  0.5000  0.2541  1 Re 2.10

VASP calculation (PBE-GGA) on crystalline ReTePO at its relaxed geometry.

Calculated values
* polymorph energy (0 for the lowest one): 165 kJ/mol of formula units
* volume: 123 Å³ per cell
* VASP energy: -25.74 eV/f.u.

Unit cell a=4.2007 b=4.2007 c=6.9504 alpha=90.00 beta=90.00 gamma=90.00
With the nearest neighbours (Å) after each atom.
Positions (direct):
Te  0.7500  0.7500  0.8338  4 O 2.40
Re  0.2500  0.7500  0.5000  4 P 2.39
Te  0.2500  0.2500  0.1662  4 O 2.40
O  0.7500  0.2500  0.0000  4 Te 2.40
P  0.7500  0.7500  0.3356  4 Re 2.39
Re  0.7500  0.2500  0.5000  4 P 2.39
O  0.2500  0.7500  0.0000  4 Te 2.40
P  0.2500  0.2500  0.6644  4 Re 2.39

VASP calculation (PBE-GGA) on crystalline ReTePO at its relaxed geometry.

Calculated values
* polymorph energy (0 for the lowest one): 95 kJ/mol of formula units
* volume: 164 Å³ per cell
* VASP energy: -26.47 eV/f.u.

Unit cell a=3.7463 b=6.8909 c=6.3438 alpha=90.00 beta=90.00 gamma=90.00
With the nearest neighbours (Å) after each atom.
Positions (direct):
O  0.0000  0.6943  0.4677  2 Re 1.87
Te  0.0000  0.8363  0.9902  2 P 2.59
Re  0.5000  0.3152  0.9683  2 O 1.87
Re  0.5000  0.6848  0.4683  2 O 1.87
P  0.5000  0.3758  0.3278  2 Re 2.31-2.32
Te  0.0000  0.1637  0.4902  2 P 2.59
P  0.5000  0.6242  0.8278  2 Re 2.31-2.32
O  0.0000  0.3057  0.9677  2 Re 1.87

VASP calculation (PBE-GGA) on crystalline ReTePO at its relaxed geometry.

Calculated values
* polymorph energy (0 for the lowest one): 0 kJ/mol of formula units
* volume: 175 Å³ per cell
* VASP energy: -27.45 eV/f.u.

Unit cell a=3.1111 b=7.6248 c=7.3921 alpha=90.00 beta=90.00 gamma=90.00
With the nearest neighbours (Å) after each atom.
Positions (direct):
Re  0.0000  0.0172  0.4902  2 O 1.88-1.90
Te  0.5000  0.7086  0.5842  1 P 2.62, 2 Re 2.90
P  0.5000  0.7522  0.9352  2 Re 2.38, 1 Te 2.62
P  0.5000  0.2478  0.4352  2 Re 2.38, 1 Te 2.62
Re  0.0000  0.9828  0.9902  2 O 1.88-1.90
O  0.0000  0.0490  0.7445  2 Re 1.88-1.90
Te  0.5000  0.2914  0.0842  1 P 2.62, 2 Re 2.90
O  0.0000  0.9510  0.2445  2 Re 1.88-1.90

VASP calculation (PBE-GGA) on crystalline TlRePO at its relaxed geometry.

Calculated values
* polymorph energy (0 for the lowest one): 225 kJ/mol of formula units
* volume: 165 Å³ per cell
* VASP energy: -24.36 eV/f.u.

Unit cell a=4.1819 b=4.1819 c=9.4110 alpha=90.00 beta=90.00 gamma=90.00
With the nearest neighbours (Å) after each atom.
Positions (direct):
Re  0.5000  0.0000  0.0455  4 O 2.13, 1 P 2.14
O  0.5000  0.5000  0.0000  4 Re 2.13
Tl  0.5000  0.5000  0.5000  4 Tl 2.96, 4 P 2.99
Re  0.0000  0.5000  0.9545  4 O 2.13, 1 P 2.14
Tl  0.0000  0.0000  0.5000  4 Tl 2.96, 4 P 2.99
P  0.5000  0.0000  0.2727  1 Re 2.14
P  0.0000  0.5000  0.7273  1 Re 2.14
O  0.0000  0.0000  0.0000  4 Re 2.13

VASP calculation (PBE-GGA) on crystalline TlRePO at its relaxed geometry.

Calculated values
* polymorph energy (0 for the lowest one): 354 kJ/mol of formula units
* volume: 143 Å³ per cell
* VASP energy: -23.02 eV/f.u.

Unit cell a=4.1218 b=4.1218 c=8.4124 alpha=90.00 beta=90.00 gamma=90.00
With the nearest neighbours (Å) after each atom.
Positions (direct):
Tl  0.0000  0.5000  0.5000  4 Tl 2.91, 4 P 3.18
O  0.0000  0.5000  0.0000  4 Re 2.13
Re  0.0000  0.0000  0.0649  4 O 2.13, 1 P 2.33
P  0.5000  0.5000  0.2118  1 Re 2.33
O  0.5000  0.0000  0.0000  4 Re 2.13
Re  0.5000  0.5000  0.9351  4 O 2.13, 1 P 2.33
P  0.0000  0.0000  0.7882  1 Re 2.33
Tl  0.5000  0.0000  0.5000  4 Tl 2.91, 4 P 3.18

VASP calculation (PBE-GGA) on crystalline TlRePO at its relaxed geometry.

Calculated values
* polymorph energy (0 for the lowest one): 137 kJ/mol of formula units
* volume: 131 Å³ per cell
* VASP energy: -25.28 eV/f.u.

Unit cell a=4.1229 b=4.1229 c=7.6812 alpha=90.00 beta=90.00 gamma=90.00
With the nearest neighbours (Å) after each atom.
Positions (direct):
Re  0.5000  0.5000  0.5000  4 P 2.39
Tl  0.0000  0.5000  0.1406  4 O 2.33
P  0.5000  0.0000  0.3428  4 Re 2.39
O  0.5000  0.5000  0.0000  4 Tl 2.33
O  0.0000  0.0000  0.0000  4 Tl 2.33
P  0.0000  0.5000  0.6572  4 Re 2.39
Tl  0.5000  0.0000  0.8594  4 O 2.33
Re  0.0000  0.0000  0.5000  4 P 2.39

VASP calculation (PBE-GGA) on crystalline TlRePO at its relaxed geometry.

Calculated values
* polymorph energy (0 for the lowest one): 0 kJ/mol of formula units
* volume: 156 Å³ per cell
* VASP energy: -26.70 eV/f.u.

Unit cell a=3.1424 b=6.7218 c=7.3859 alpha=90.00 beta=90.00 gamma=90.00
With the nearest neighbours (Å) after each atom.
Positions (direct):
Tl  0.5000  0.3257  0.0603  2 P 2.69-2.85, 2 Re 2.97
P  0.5000  0.7053  0.9453  2 Re 2.34
O  0.0000  0.9634  0.2511  2 Re 1.87-1.90
Tl  0.5000  0.6743  0.5603  2 P 2.69-2.85, 2 Re 2.97
Re  0.0000  0.0432  0.4974  2 O 1.87-1.90
O  0.0000  0.0366  0.7511  2 Re 1.87-1.90
P  0.5000  0.2947  0.4453  2 Re 2.34
Re  0.0000  0.9568  0.9974  2 O 1.87-1.90

VASP calculation (PBE-GGA) on crystalline TmRePO at its relaxed geometry.

Calculated values
* polymorph energy (0 for the lowest one): 263 kJ/mol of formula units
* volume: 131 Å³ per cell
* VASP energy: -31.69 eV/f.u.

Unit cell a=3.9604 b=6.0263 c=5.4819 alpha=90.00 beta=90.00 gamma=90.00
With the nearest neighbours (Å) after each atom.
Positions (direct):
Tm  0.5000  0.1621  0.3502  2 O 2.08
P  0.5000  0.3209  0.8717  4 Re 2.51-2.78, 1 Tm 2.79
Re  0.0000  0.5434  0.6117  2 O 2.08-2.12
Re  0.0000  0.4566  0.1117  2 O 2.08-2.12
O  0.0000  0.2462  0.4205  2 Re 2.08-2.12, 2 Tm 2.08
O  0.0000  0.7538  0.9205  2 Re 2.08-2.12, 2 Tm 2.08
Tm  0.5000  0.8379  0.8502  2 O 2.08
P  0.5000  0.6791  0.3717  4 Re 2.51-2.78, 1 Tm 2.79

VASP calculation (PBE-GGA) on crystalline TmRePO at its relaxed geometry.

Calculated values
* polymorph energy (0 for the lowest one): 0 kJ/mol of formula units
* volume: 124 Å³ per cell
* VASP energy: -34.41 eV/f.u.

Unit cell a=3.8915 b=3.8915 c=8.1684 alpha=90.00 beta=90.00 gamma=90.00
With the nearest neighbours (Å) after each atom.
Positions (direct):
P  0.5000  0.0000  0.3262  4 Re 2.41
Tm  0.0000  0.5000  0.1294  4 O 2.21
Re  0.5000  0.5000  0.5000  4 P 2.41
O  0.0000  0.0000  0.0000  4 Tm 2.21
O  0.5000  0.5000  0.0000  4 Tm 2.21
Re  0.0000  0.0000  0.5000  4 P 2.41
Tm  0.5000  0.0000  0.8706  4 O 2.21
P  0.0000  0.5000  0.6738  4 Re 2.41